Compound: Pr2Si4Ir3Pd
Source: Alexandria via LeMat-Bulk
Functional: PBE
Structure: relaxed

Unit cell a=4.2212 b=4.2212 c=9.9666 alpha=90.00 beta=90.00 gamma=90.00
Closest atoms and distances in Å follow each position.
Sites, in units of the cell vectors:
Pr (0.5000, 0.0000, 0.2413)  8 Si 3.20-3.23, 6 Ir 3.20-3.33, 2 Pd 3.33
Pr (0.0000, 0.5000, 0.7587)  8 Si 3.20-3.23, 6 Ir 3.20-3.33, 2 Pd 3.33
Si (0.5000, 0.5000, 0.0000)  4 Ir 2.45
Si (0.0000, 0.0000, 0.0000)  4 Ir 2.45
Si (0.5000, 0.0000, 0.6339)  3 Ir 2.41-2.50, 2 Pd 2.50
Si (0.0000, 0.5000, 0.3661)  3 Ir 2.41-2.50, 2 Pd 2.50
Ir (0.0000, 0.0000, 0.5000)  4 Si 2.50
Ir (0.5000, 0.0000, 0.8758)  5 Si 2.41-2.45
Ir (0.0000, 0.5000, 0.1242)  5 Si 2.41-2.45
Pd (0.5000, 0.5000, 0.5000)  4 Si 2.50

Summary:
- energy relative to the elements, uncorrected (meV/atom) = -979
- mass density (Mg/m³) = 10.07
- volume (Å³/cell) = 178
- space group = P-4m2

---

Compound: Na2ThTe3
Source: Alexandria via LeMat-Bulk
Functional: PBE
Structure: relaxed

Unit cell a=7.8782 b=7.9152 c=7.9152 alpha=119.01 beta=100.29 gamma=100.29
Closest atoms and distances in Å follow each position.
Sites, in units of the cell vectors:
Na (0.2500, 0.9167, 0.0833)  6 Te 3.19-3.42
Na (0.2500, 0.2480, 0.7520)  6 Te 3.26-3.31
Na (0.7500, 0.0833, 0.9167)  6 Te 3.19-3.42
Na (0.7500, 0.7520, 0.2480)  6 Te 3.26-3.31
Th (0.2500, 0.5878, 0.4122)  6 Te 3.13-3.17
Th (0.7500, 0.4122, 0.5878)  6 Te 3.13-3.17
Te (0.9958, 0.1915, 0.3442)  2 Th 3.13-3.14, 4 Na 3.19-3.42
Te (0.4958, 0.3442, 0.1915)  2 Th 3.13-3.14, 4 Na 3.19-3.42
Te (0.0000, 0.5000, 0.0000)  2 Th 3.17, 4 Na 3.21-3.27
Te (0.0042, 0.8085, 0.6558)  2 Th 3.13-3.14, 4 Na 3.19-3.42
Te (0.5000, 0.0000, 0.5000)  2 Th 3.17, 4 Na 3.21-3.27
Te (0.5042, 0.6558, 0.8085)  2 Th 3.13-3.14, 4 Na 3.19-3.42

Summary:
- energy relative to the elements, uncorrected (meV/atom) = -1130
- mass density (Mg/m³) = 5.43
- volume (Å³/cell) = 404
- space group = C2/c